(1)
# SmAgGeTe3 | the Open Quantum Materials Database | PBE-GGA | relaxed
# Polymorph energy (0 for the lowest one), kJ/mol of atoms: 0.0
# M_tot, Bohr magnetons per cell: 0.0
data_SmAgGeTe3
_symmetry_space_group_name_H-M 'C m c m'
_symmetry_Int_Tables_number 63
_symmetry_space_group_name_Hall '-C 2c 2'
_cell_length_a 4.237
_cell_length_b 14.566
_cell_length_c 11.289
_cell_angle_alpha 90.00
_cell_angle_beta 90.00
_cell_angle_gamma 90.00
loop_
_atom_site_label
_atom_site_type_symbol
_atom_site_fract_x
_atom_site_fract_y
_atom_site_fract_z
Sm1 Sm 0.000 0.000 0.000
Ag1 Ag 0.000 0.479 0.250
Ge1 Ge 0.000 0.219 0.750
Te1 Te 0.000 0.107 0.250
Te2 Te 0.000 0.348 0.068

(2)
# LiAg2Sn | the Open Quantum Materials Database | PBE-GGA | relaxed
# Electronic total energy, eV per atom: -3.033
data_LiAg2Sn
_symmetry_space_group_name_H-M 'P 63/m m c'
_symmetry_Int_Tables_number 194
_symmetry_space_group_name_Hall '-P 6c 2c'
_cell_length_a 4.7293
_cell_length_b 4.7293
_cell_length_c 8.3880
_cell_angle_alpha 90.00
_cell_angle_beta 90.00
_cell_angle_gamma 120.00
loop_
_atom_site_label
_atom_site_type_symbol
_atom_site_fract_x
_atom_site_fract_y
_atom_site_fract_z
Li1 Li 0.3333 0.6667 0.2500
Ag1 Ag 0.3333 0.6667 0.5841
Sn1 Sn 0.0000 0.0000 0.0000

(3)
# DyEr2Co9 | the Open Quantum Materials Database | PBE-GGA | relaxed
# Energy relative to the elements, eV/atom: -0.20
# M_tot, Bohr magnetons per cell: 31.6
data_DyEr2Co9
_symmetry_space_group_name_H-M 'R -3 m'
_symmetry_Int_Tables_number 166
_symmetry_space_group_name_Hall '-R 3 2"'
_cell_length_a 4.9258
_cell_length_b 4.9258
_cell_length_c 24.1810
_cell_angle_alpha 90.00
_cell_angle_beta 90.00
_cell_angle_gamma 120.00
loop_
_atom_site_label
_atom_site_type_symbol
_atom_site_fract_x
_atom_site_fract_y
_atom_site_fract_z
Dy1 Dy 0.0000 0.0000 0.0000
Er1 Er 0.0000 0.0000 0.1399
Co1 Co 0.0000 0.0000 0.3342
Co2 Co 0.0000 0.0000 0.5000
Co3 Co 0.0021 0.5011 0.9183

(4)
# BiAsAu2 | the Open Quantum Materials Database | PBE-GGA | relaxed
# Electronic total energy, eV per atom: -3.593
data_BiAsAu2
_symmetry_space_group_name_H-M 'F -4 3 m'
_symmetry_Int_Tables_number 216
_symmetry_space_group_name_Hall 'F -4 2 3'
_cell_length_a 7.042
_cell_length_b 7.042
_cell_length_c 7.042
_cell_angle_alpha 90.00
_cell_angle_beta 90.00
_cell_angle_gamma 90.00
loop_
_atom_site_label
_atom_site_type_symbol
_atom_site_fract_x
_atom_site_fract_y
_atom_site_fract_z
Bi1 Bi 0.000 0.000 0.000
As1 As 0.250 0.250 0.250
Au1 Au 0.000 0.000 0.500
Au2 Au 0.250 0.250 0.750

(5)
# ScInFeSe3 | the Open Quantum Materials Database | PBE-GGA | relaxed
# Polymorph energy (0 for the lowest one), kJ/mol of atoms: 0.0
# M_tot, Bohr magnetons per cell: 15.6
data_ScInFeSe3
_symmetry_space_group_name_H-M 'C m c m'
_symmetry_Int_Tables_number 63
_symmetry_space_group_name_Hall '-C 2c 2'
_cell_length_a 3.899
_cell_length_b 14.609
_cell_length_c 10.197
_cell_angle_alpha 90.00
_cell_angle_beta 90.00
_cell_angle_gamma 90.00
loop_
_atom_site_label
_atom_site_type_symbol
_atom_site_fract_x
_atom_site_fract_y
_atom_site_fract_z
Sc1 Sc 0.000 0.000 0.000
In1 In 0.000 0.243 0.250
Fe1 Fe 0.000 0.469 0.750
Se1 Se 0.000 0.071 0.750
Se2 Se 0.000 0.374 0.557

(6)
# Cs3PmI6 | the Open Quantum Materials Database | PBE-GGA | relaxed
# Electronic total energy, eV per atom: -3.185
# M_tot, Bohr magnetons per cell: 0.0
data_Cs3PmI6
_symmetry_space_group_name_H-M 'P 1 21/c 1'
_symmetry_Int_Tables_number 14
_symmetry_space_group_name_Hall '-P 2ybc'
_cell_length_a 9.072
_cell_length_b 9.698
_cell_length_c 15.529
_cell_angle_alpha 90.00
_cell_angle_beta 123.94
_cell_angle_gamma 90.00
loop_
_atom_site_label
_atom_site_type_symbol
_atom_site_fract_x
_atom_site_fract_y
_atom_site_fract_z
Cs1 Cs 0.000 0.000 0.000
Cs2 Cs 0.210 0.078 0.742
Pm1 Pm 0.500 0.000 0.500
I1 I 0.172 0.174 0.449
I2 I 0.265 0.733 0.426
I3 I 0.404 0.052 0.276

(7)
# ZrPOsO | the Open Quantum Materials Database | PBE-GGA | relaxed
# Polymorph energy (0 for the lowest one), kJ/mol of atoms: 106.9
# M_tot, Bohr magnetons per cell: 0.0
data_ZrPOsO
_symmetry_space_group_name_H-M 'P 4/n m m'
_symmetry_Int_Tables_number 129
_cell_length_a 5.235
_cell_length_b 5.235
_cell_length_c 4.442
_cell_angle_alpha 90.00
_cell_angle_beta 90.00
_cell_angle_gamma 90.00
loop_
_symmetry_equiv_pos_as_xyz
'x,y,z'
'-x,-y,-z'
'-y+1/2,x,z'
'y+1/2,-x,-z'
'-x+1/2,-y+1/2,z'
'x+1/2,y+1/2,-z'
'y,-x+1/2,z'
'-y,x+1/2,-z'
'x+1/2,-y,-z'
'-x+1/2,y,z'
'-y,-x,-z'
'y,x,z'
'-x,y+1/2,-z'
'x,-y+1/2,z'
'y+1/2,x+1/2,-z'
'-y+1/2,-x+1/2,z'
loop_
_atom_site_label
_atom_site_type_symbol
_atom_site_fract_x
_atom_site_fract_y
_atom_site_fract_z
Zr1 Zr 0.250 0.750 0.000
P1 P 0.250 0.250 0.136
Os1 Os 0.250 0.250 0.640
O1 O 0.250 0.750 0.500

(8)
# Dy2Ho2CI3Br2 | the Open Quantum Materials Database | PBE-GGA | relaxed
# Polymorph energy (0 for the lowest one), kJ/mol of atoms: 0.0
# M_tot, Bohr magnetons per cell: 0.7
data_Dy2Ho2CI3Br2
_symmetry_space_group_name_H-M 'C 1 2/m 1'
_symmetry_Int_Tables_number 12
_symmetry_space_group_name_Hall '-C 2y'
_cell_length_a 18.503
_cell_length_b 3.897
_cell_length_c 8.463
_cell_angle_alpha 90.00
_cell_angle_beta 102.34
_cell_angle_gamma 90.00
loop_
_atom_site_label
_atom_site_type_symbol
_atom_site_fract_x
_atom_site_fract_y
_atom_site_fract_z
Dy1 Dy 0.133 0.000 0.068
Ho1 Ho 0.000 0.500 0.190
C1 C 0.000 0.000 0.000
I1 I 0.000 0.000 0.500
I2 I 0.171 0.500 0.816
Br1 Br 0.157 0.500 0.323

(9)
# YAs2Pd4 | the Open Quantum Materials Database | PBE-GGA | relaxed
# Electronic total energy, eV per atom: -5.943
# M_tot, Bohr magnetons per cell: 0.0
data_YAs2Pd4
_symmetry_space_group_name_H-M 'P 42/m n m'
_symmetry_Int_Tables_number 136
_symmetry_space_group_name_Hall '-P 4n 2n'
_cell_length_a 7.720
_cell_length_b 7.720
_cell_length_c 4.082
_cell_angle_alpha 90.00
_cell_angle_beta 90.00
_cell_angle_gamma 90.00
loop_
_atom_site_label
_atom_site_type_symbol
_atom_site_fract_x
_atom_site_fract_y
_atom_site_fract_z
Y1 Y 0.000 0.000 0.000
As1 As 0.220 0.220 0.500
Pd1 Pd 0.089 0.661 0.500

(10)
# Rb2NdDyO4 | the Open Quantum Materials Database | PBE-GGA | relaxed
# Electronic total energy, eV per atom: -6.500
# M_tot, Bohr magnetons per cell: 0.0
data_Rb2NdDyO4
_symmetry_space_group_name_H-M 'P -3 m 1'
_symmetry_Int_Tables_number 164
_symmetry_space_group_name_Hall '-P 3 2"'
_cell_length_a 3.5490
_cell_length_b 3.5490
_cell_length_c 12.9448
_cell_angle_alpha 90.00
_cell_angle_beta 90.00
_cell_angle_gamma 120.00
loop_
_atom_site_label
_atom_site_type_symbol
_atom_site_fract_x
_atom_site_fract_y
_atom_site_fract_z
Rb1 Rb 0.3333 0.6667 0.2535
Nd1 Nd 0.0000 0.0000 0.0000
Dy1 Dy 0.0000 0.0000 0.5000
O1 O 0.3333 0.6667 0.5865
O2 O 0.3333 0.6667 0.9048

(11)
# SrLuCu | the Open Quantum Materials Database | PBE-GGA | relaxed
# Polymorph energy (0 for the lowest one), kJ/mol of atoms: 0.0
# M_tot, Bohr magnetons per cell: 0.0
data_SrLuCu
_symmetry_space_group_name_H-M 'F -4 3 m'
_symmetry_Int_Tables_number 216
_symmetry_space_group_name_Hall 'F -4 2 3'
_cell_length_a 7.001
_cell_length_b 7.001
_cell_length_c 7.001
_cell_angle_alpha 90.00
_cell_angle_beta 90.00
_cell_angle_gamma 90.00
loop_
_atom_site_label
_atom_site_type_symbol
_atom_site_fract_x
_atom_site_fract_y
_atom_site_fract_z
Sr1 Sr 0.000 0.000 0.000
Lu1 Lu 0.250 0.250 0.750
Cu1 Cu 0.000 0.000 0.500

(12)
# Y2TlAu2 | the Open Quantum Materials Database | PBE-GGA | relaxed
# Electronic total energy, eV per atom: -4.827
# M_tot, Bohr magnetons per cell: 0.0
data_Y2TlAu2
_symmetry_space_group_name_H-M 'I 4/m m m'
_symmetry_Int_Tables_number 139
_symmetry_space_group_name_Hall '-I 4 2'
_cell_length_a 4.996
_cell_length_b 4.996
_cell_length_c 10.917
_cell_angle_alpha 90.00
_cell_angle_beta 90.00
_cell_angle_gamma 90.00
loop_
_atom_site_label
_atom_site_type_symbol
_atom_site_fract_x
_atom_site_fract_y
_atom_site_fract_z
Y1 Y 0.000 0.500 0.250
Tl1 Tl 0.000 0.000 0.000
Au1 Au 0.000 0.000 0.380